# 1
The following is a PBE calculation of an optimized crystal structure of LaCoH, from Alexandria.

a b c (Å): 4.527 4.627 4.969
angles (deg): 88.56 86.19 64.98
Space group P1 (No. 1)
Inequivalent atoms, fractional coordinates:
La 0.000 0.000 0.000
La 0.318 0.346 0.477
Co 0.595 0.581 0.958
Co 0.622 0.753 0.428
H 0.379 0.375 0.973
H 0.769 0.732 0.727

calculated density	7.0	g cm⁻³
ΔE to the lowest computed polymorph	0.12	eV per formula unit

---

# 2
The following is a PBE calculation of an optimized crystal structure of LaCd2InNi, from Alexandria.

a b c (Å): 5.100 5.100 5.026
angles (deg): 90.00 90.00 90.00
Space group P4/mmm (No. 123)
Inequivalent atoms, fractional coordinates:
La 0.000 0.000 0.000
Cd 0.000 0.500 0.500
In 0.500 0.500 0.000
Ni 0.000 0.000 0.500

E_form	-190	meV per atom
calculated density	6.8	g cm⁻³
ΔE to the lowest computed polymorph	0.10	eV per formula unit

---

# 3
The following is a PBE calculation of an optimized crystal structure of Cr3Co, from Alexandria.

a b c (Å): 5.707 5.707 5.707
angles (deg): 90.00 90.00 90.00
Space group Fm-3m (No. 225)
Inequivalent atoms, fractional coordinates:
Cr 0.000 0.000 0.000
Cr 0.250 0.250 0.250
Co 0.000 0.000 0.500

E_form	108	meV per atom
calculated density	7.7	g cm⁻³

---

# 4
The following is a PBE calculation of an optimized crystal structure of Ba2In4Hg3Ge, from Alexandria.

a b c (Å): 4.977 4.977 11.951
angles (deg): 90.00 90.00 90.00
Space group P-4m2 (No. 115)
Inequivalent atoms, fractional coordinates:
Ba 0.000 0.500 0.241
In 0.000 0.000 0.500
In 0.000 0.500 0.876
In 0.500 0.500 0.500
Hg 0.000 0.000 0.000
Hg 0.000 0.500 0.638
Ge 0.500 0.500 0.000

E_form	-362	meV per atom
calculated density	7.9	g cm⁻³